[1]
Here is a relaxed CdSb2Rh crystal from the Alexandria database. Energies are from PBE.

Structure (CIF):
```
data_CdSb2Rh
_cell_length_a 3.2517
_cell_length_b 4.2724
_cell_length_c 13.3683
_cell_angle_alpha 90.00
_cell_angle_beta 90.00
_cell_angle_gamma 90.00
_symmetry_space_group_name_H-M 'I m m 2'
_symmetry_Int_Tables_number 44
_symmetry_space_group_name_Hall 'I 2 -2'
loop_
_atom_site_label
_atom_site_type_symbol
_atom_site_fract_x
_atom_site_fract_y
_atom_site_fract_z
Cd1 Cd 0.0000 0.0000 0.0000
Sb1 Sb 0.0000 0.0000 0.6273
Sb2 Sb 0.0000 0.5000 0.8359
Rh1 Rh 0.0000 0.5000 0.2873
```

Output
**Total magnetization**: 0.00 μB per cell
**Uncorrected formation energy**: -0.070 eV/atom
**Density**: 8.20 g cm⁻³


[2]
Here is a relaxed TmHfScN3 crystal from the Alexandria database. Energies are from PBE.

Structure (CIF):
```
data_TmHfScN3
_cell_length_a 6.0812
_cell_length_b 3.1672
_cell_length_c 9.2427
_cell_angle_alpha 90.00
_cell_angle_beta 93.21
_cell_angle_gamma 90.00
_symmetry_space_group_name_H-M 'P 1 21/m 1'
_symmetry_Int_Tables_number 11
_symmetry_space_group_name_Hall '-P 2yb'
loop_
_atom_site_label
_atom_site_type_symbol
_atom_site_fract_x
_atom_site_fract_y
_atom_site_fract_z
Tm1 Tm 0.1765 0.2500 0.2307
Hf1 Hf 0.3336 0.7500 0.8927
Sc1 Sc 0.1938 0.2500 0.5758
N1 N 0.1160 0.2500 0.8269
N2 N 0.1713 0.7500 0.4284
N3 N 0.3999 0.7500 0.1187
```

Output
**Total magnetization**: 1.20 μB per cell
**Uncorrected formation energy**: -1.523 eV/atom
**Density**: 8.12 g cm⁻³


[3]
Here is a relaxed NaTiO2 crystal from the Alexandria database. Energies are from PBE.

Structure (CIF):
```
data_NaTiO2
_cell_length_a 5.3484
_cell_length_b 5.3484
_cell_length_c 5.3484
_cell_angle_alpha 90.00
_cell_angle_beta 90.00
_cell_angle_gamma 90.00
_symmetry_space_group_name_H-M 'F m -3 m'
_symmetry_Int_Tables_number 225
_symmetry_space_group_name_Hall '-F 4 2 3'
loop_
_atom_site_label
_atom_site_type_symbol
_atom_site_fract_x
_atom_site_fract_y
_atom_site_fract_z
Na1 Na 0.0000 0.0000 0.0000
Ti1 Ti 0.0000 0.0000 0.5000
O1 O 0.2500 0.2500 0.2500
```

Output
**Total magnetization**: 4.00 μB per cell
**Uncorrected formation energy**: -1.671 eV/atom
**Density**: 4.47 g cm⁻³


[4]
Here is a relaxed PaCuBiO5 crystal from the Alexandria database. Energies are from PBE.

Structure (CIF):
```
data_PaCuBiO5
_cell_length_a 6.6928
_cell_length_b 9.8609
_cell_length_c 8.1131
_cell_angle_alpha 90.00
_cell_angle_beta 112.34
_cell_angle_gamma 90.00
_symmetry_space_group_name_H-M 'C 1 2/c 1'
_symmetry_Int_Tables_number 15
_symmetry_space_group_name_Hall '-C 2yc'
loop_
_atom_site_label
_atom_site_type_symbol
_atom_site_fract_x
_atom_site_fract_y
_atom_site_fract_z
Pa1 Pa 0.0000 0.0000 0.0000
Cu1 Cu 0.0000 0.3244 0.2500
Bi1 Bi 0.0000 0.3419 0.7500
O1 O 0.0000 0.0853 0.7500
O2 O 0.1025 0.1987 0.1158
O3 O 0.1518 0.4700 0.4169
```

Output
**Total magnetization**: 4.13 μB per cell
**Uncorrected formation energy**: -1.939 eV/atom
**Density**: 7.83 g cm⁻³


- Among the records above, which one has the highest uncorrected formation energy?
  CdSb2Rh